Entry 1:
This record from Alexandria via LeMat-Bulk describes an optimized crystal structure of Fe6Co5Ir. The functional is PBE-GGA.

## Properties
Its magnetization is 26.763 μB/f.u. The formation energy is -0.04 eV/atom. The calculated total energy is -95.65 eV/cell.

Unit cell a=7.050 b=7.050 c=7.050 alpha=146.40 beta=131.80 gamma=60.04
Fractional positions:
Fe: 0.073 0.329 0.744
Fe: 0.238 0.000 0.238
Fe: 0.415 0.671 0.744
Fe: 0.585 0.329 0.256
Fe: 0.762 0.000 0.762
Fe: 0.927 0.671 0.256
Co: 0.000 0.500 0.500
Co: 0.168 0.168 0.000
Co: 0.335 0.835 0.500
Co: 0.665 0.165 0.500
Co: 0.832 0.832 0.000
Ir: 0.500 0.500 0.000

***

Entry 2:
This record from Alexandria via LeMat-Bulk describes an optimized crystal structure of Nb2CuBr8. The functional is PBE-GGA.

## Properties
Its magnetization is 3.000 μB/f.u. The calculated total energy is -43.87 eV/cell. The uncorrected formation energy is -569 meV per atom.

Unit cell a=8.174 b=8.174 c=6.964 alpha=90.03 beta=90.03 gamma=81.55
Fractional positions:
Nb: 0.209 0.209 0.164
Nb: 0.791 0.791 0.836
Cu: 0.000 0.000 0.500
Br: 0.069 0.721 0.685
Br: 0.189 0.189 0.813
Br: 0.279 0.931 0.315
Br: 0.398 0.398 0.266
Br: 0.602 0.602 0.734
Br: 0.721 0.069 0.685
Br: 0.811 0.811 0.187
Br: 0.931 0.279 0.315

***

Q: Which value of calculated total energy does entry 1 give?
A: -95.65 eV/cell